1.
VASP calculation (PBE) on crystalline SrOsRh3 at its relaxed geometry.

Cell lengths 4.7980, 4.7980, 4.7980 Å; angles 90.00, 90.00, 90.00 degrees
Space group Pm-3m (No. 221)
Inequivalent atoms, fractional coordinates:
Sr 0.0000 0.0000 0.0000 x1
Os 0.5000 0.5000 0.5000 x1
Rh 0.0000 0.5000 0.5000 x3

Density of states at the Fermi level ... 4.45 states/eV/f.u.
Polymorph energy (0 for the lowest one) ... 0.0 kJ per mole of atoms
Electronic total energy ... -6.471 eV per atom
Energy of formation ... 50.4 kJ per mole of atoms
Calculated density ... 8.82 g/cm3


2.
VASP calculation (PBE) on crystalline SrOsRh2 at its relaxed geometry.

Cell lengths 2.8584, 2.8584, 29.0635 Å; angles 90.00, 90.00, 120.00 degrees
Space group R3m (No. 160, hexagonal axes)
Inequivalent atoms, fractional coordinates:
Sr 0.0000 0.0000 0.0000 x3
Os 0.0000 0.0000 0.7626 x3
Rh 0.0000 0.0000 0.2435 x3
Rh 0.0000 0.0000 0.4999 x3

Density of states at the Fermi level ... 5.35 states/eV/f.u.
Polymorph energy (0 for the lowest one) ... 42.3 kJ per mole of atoms
Electronic total energy ... -6.207 eV per atom
Energy of formation ... 67.2 kJ per mole of atoms
Calculated density ... 11.72 g/cm3


3.
VASP calculation (PBE) on crystalline SrOsRh2 at its relaxed geometry.

Cell lengths 4.9231, 4.9231, 2.8632 Å; angles 90.00, 90.00, 90.00 degrees
Space group P4/mmm (No. 123)
Inequivalent atoms, fractional coordinates:
Sr 0.0000 0.0000 0.0000 x1
Os 0.5000 0.5000 0.0000 x1
Rh 0.0000 0.5000 0.5000 x2

Density of states at the Fermi level ... 3.79 states/eV/f.u.
Polymorph energy (0 for the lowest one) ... 19.7 kJ per mole of atoms
Electronic total energy ... -6.441 eV per atom
Energy of formation ... 44.7 kJ per mole of atoms
Calculated density ... 11.57 g/cm3


4.
VASP calculation (PBE) on crystalline Sr2OsRh2 at its relaxed geometry.

Cell lengths 6.6965, 6.6965, 4.9290 Å; angles 90.00, 90.00, 90.00 degrees
Space group P4/mbm (No. 127)
Inequivalent atoms, fractional coordinates:
Sr 0.1793 0.3207 0.0000 x4
Os 0.0000 0.0000 0.5000 x2
Rh 0.1432 0.6432 0.5000 x4

Density of states at the Fermi level ... 6.37 states/eV/f.u.
Electronic total energy ... -5.739 eV per atom
Energy of formation ... 11.6 kJ per mole of atoms
Calculated density ... 8.58 g/cm3